[1]
VASP calculation (PBE) on BaSr2TlPt after structural relaxation.

Cell: 5.946 5.946 5.481 Å, 90.00 90.00 90.00°
Space group P4/mmm (No. 123)
One atom of each set of equivalent atoms:
1 Ba 0.000 0.000 0.000 [1 per cell]
2 Sr 0.000 0.500 0.500 [2 per cell]
3 Tl 0.500 0.500 0.000 [1 per cell]
4 Pt 0.500 0.500 0.500 [1 per cell]

Output
- M_tot: 0.0 μB per formula unit
- VASP energy: -15.47 eV per cell
- Energy relative to the elements: -0.3551 eV/atom



[2]
VASP calculation (PBE) on TmCuAuO4 after structural relaxation.

Cell: 6.194 6.924 10.586 Å, 90.00 90.00 90.00°
Space group Imma (No. 74)
One atom of each set of equivalent atoms:
1 Tm 0.000 0.000 0.000 [4 per cell]
2 Cu 0.000 0.250 0.443 [4 per cell]
3 Au 0.250 0.250 0.750 [4 per cell]
4 O 0.000 0.063 0.787 [8 per cell]
5 O 0.220 0.250 0.033 [8 per cell]

Output
- M_tot: 1.0 μB per formula unit
- VASP energy: -163.67 eV per cell
- Formation energy (no corrections): -1.320 eV per atom



[3]
VASP calculation (PBE) on Pm3MgPb3 after structural relaxation.

Cell: 9.4824 9.4824 6.3718 Å, 90.00 90.00 120.00°
Space group P6_3/m (No. 176)
One atom of each set of equivalent atoms:
1 Pm 0.0474 0.3620 0.2500 [6 per cell]
2 Mg 0.3333 0.6667 0.7500 [2 per cell]
3 Pb 0.0390 0.3462 0.7500 [6 per cell]

Output
- M_tot: 0.0 μB per formula unit
- VASP energy: -57.91 eV per cell
- Energy relative to the elements: -0.2833 eV/atom



[4]
VASP calculation (PBE) on Zn6Cu2Ni after structural relaxation.

Cell: 4.2028 4.2028 7.8872 Å, 90.00 90.00 120.00°
Space group P-3m1 (No. 164)
One atom of each set of equivalent atoms:
1 Zn 0.0000 0.0000 0.1832 [2 per cell]
2 Zn 0.3333 0.6667 0.0518 [2 per cell]
3 Zn 0.3333 0.6667 0.3976 [2 per cell]
4 Cu 0.3333 0.6667 0.7162 [2 per cell]
5 Ni 0.0000 0.0000 0.5000 [1 per cell]

Output
- M_tot: 0.0 μB per formula unit
- VASP energy: -22.36 eV per cell
- Energy relative to the elements: -0.0824 eV/atom



[5]
VASP calculation (PBE) on Pr4Sm2Y2Er after structural relaxation.

Cell: 15.489 5.159 8.117 Å, 90.00 108.58 90.00°
Space group C2/m (No. 12)
One atom of each set of equivalent atoms:
1 Pr 0.054 0.000 0.331 [4 per cell]
2 Pr 0.222 0.500 0.332 [4 per cell]
3 Sm 0.111 0.500 0.669 [4 per cell]
4 Y 0.166 0.000 0.000 [4 per cell]
5 Er 0.000 0.500 0.000 [2 per cell]

Output
- M_tot: 0.0 μB per formula unit
- VASP energy: -91.72 eV per cell
- Energy relative to the elements: 0.0207 eV/atom



[6]
VASP calculation (PBE) on SrLiSnN2 after structural relaxation.

Cell: 11.770 3.629 7.416 Å, 90.00 102.77 90.00°
Space group C2/m (No. 12)
One atom of each set of equivalent atoms:
1 Sr 0.159 0.000 0.149 [4 per cell]
2 Li 0.187 0.000 0.546 [4 per cell]
3 Sn 0.057 0.500 0.713 [4 per cell]
4 N 0.120 0.500 0.441 [4 per cell]
5 N 0.161 0.000 0.806 [4 per cell]

Output
- M_tot: 0.0 μB per formula unit
- VASP energy: -102.85 eV per cell
- Formation energy (no corrections): -0.293 eV per atom



[7]
VASP calculation (PBE) on AcTb4Dy2 after structural relaxation.

Cell: 7.155 8.698 8.997 Å, 114.89 101.58 101.68°
Space group P1 (No. 1)
One atom of each set of equivalent atoms:
1 Ac 0.000 0.000 0.000 [1 per cell]
2 Ac 0.084 0.750 0.565 [1 per cell]
3 Tb 0.197 0.318 0.457 [1 per cell]
4 Tb 0.302 0.879 0.285 [1 per cell]
5 Tb 0.392 0.435 0.119 [1 per cell]
6 Tb 0.497 0.991 0.990 [1 per cell]
7 Tb 0.608 0.583 0.849 [1 per cell]
8 Tb 0.692 0.316 0.445 [1 per cell]
9 Tb 0.886 0.432 0.107 [1 per cell]
10 Tb 0.969 0.165 0.707 [1 per cell]
11 Dy 0.115 0.585 0.857 [1 per cell]
12 Dy 0.476 0.167 0.716 [1 per cell]
13 Dy 0.587 0.759 0.574 [1 per cell]
14 Dy 0.783 0.871 0.280 [1 per cell]

Output
- M_tot: 0.0 μB per formula unit
- VASP energy: -62.83 eV per cell
- Energy relative to the elements: 0.0600 eV/atom



[8]
VASP calculation (PBE) on TbSm3Cu2 after structural relaxation.

Cell: 4.990 8.892 6.965 Å, 90.00 90.00 90.00°
Space group Pmc2_1 (No. 26)
One atom of each set of equivalent atoms:
1 Tb 0.000 0.075 0.000 [2 per cell]
2 Sm 0.000 0.337 0.634 [2 per cell]
3 Sm 0.500 0.161 0.346 [2 per cell]
4 Sm 0.500 0.423 0.980 [2 per cell]
5 Cu 0.000 0.344 0.226 [2 per cell]
6 Cu 0.500 0.151 0.753 [2 per cell]

Output
- M_tot: 0.0 μB per formula unit
- VASP energy: -55.45 eV per cell
- Energy relative to the elements: -0.1244 eV/atom



| no. | calculated density (g/cm³) |
| --- | --- |
| 1 | 6.10 |
| 2 | 7.22 |
| 3 | 7.23 |
| 4 | 7.96 |
| 5 | 6.53 |
| 6 | 5.19 |
| 7 | 8.38 |
| 8 | 7.92 |